Version a
First-principles (GGA-PBE) data for crystalline VPb at its relaxed geometry, as listed in Alexandria.

ρ: 9852 kg/m3

Cell lengths 3.165, 12.192, 6.765 Å; angles 90.00, 90.00, 90.00 degrees
Space group Amm2 (No. 38)
Unique sites:
V (0.000, 0.000, 0.000) x2
V (0.500, 0.098, 0.216) x4
Pb (0.000, 0.232, 0.924) x4
Pb (0.500, 0.000, 0.619) x2

=====

Version b
First-principles (GGA-PBE) data for crystalline VPb at its relaxed geometry, as listed in Alexandria.

ρ: 9971 kg/m3

Cell lengths 6.346, 6.822, 7.945 Å; angles 90.00, 90.00, 90.00 degrees
Space group P2_12_12_1 (No. 19)
Unique sites:
V (0.034, 0.007, 0.403) x4
V (0.223, 0.216, 0.074) x4
Pb (0.103, 0.131, 0.743) x4
Pb (0.136, 0.426, 0.418) x4

=====

Version c
First-principles (GGA-PBE) data for crystalline VPb at its relaxed geometry, as listed in Alexandria.

ρ: 7039 kg/m3

Cell lengths 6.245, 6.245, 6.245 Å; angles 90.00, 90.00, 90.00 degrees
Space group F-43m (No. 216)
Unique sites:
V (0.000, 0.000, 0.000) x4
Pb (0.250, 0.250, 0.750) x4

=====

Version d
First-principles (GGA-PBE) data for crystalline VPb at its relaxed geometry, as listed in Alexandria.

ρ: 9073 kg/m3

Cell lengths 8.6297, 8.6297, 4.3953 Å; angles 90.00, 90.00, 120.00 degrees
Space group P6_3/mmc (No. 194)
Unique sites:
V (0.1004, 0.5502, 0.2500) x6
Pb (0.2048, 0.4096, 0.7500) x6

=====

Which structure is most stable? version a, by 0.062 eV/atom over the runner-up.

=====

Version a
First-principles (GGA-PBE) data for crystalline VPb at its relaxed geometry, as listed in Alexandria.

ρ: 9634 kg/m3

Cell lengths 5.614, 9.378, 13.522 Å; angles 90.00, 90.00, 90.00 degrees
Space group Fddd (No. 70, origin choice 2)
Unique sites:
V (0.125, 0.125, 0.056) x16
Pb (0.125, 0.293, 0.625) x16

=====

Version b
First-principles (GGA-PBE) data for crystalline VPb at its relaxed geometry, as listed in Alexandria.

ρ: 7915 kg/m3

Cell lengths 4.7919, 4.7919, 5.4465 Å; angles 90.00, 90.00, 120.00 degrees
Space group P6_3/mmc (No. 194)
Unique sites:
V (0.3333, 0.6667, 0.2500) x2
Pb (0.3333, 0.6667, 0.7500) x2

=====

Version c
First-principles (GGA-PBE) data for crystalline VPb at its relaxed geometry, as listed in Alexandria.

ρ: 6112 kg/m3

Cell lengths 8.248, 8.248, 8.248 Å; angles 90.00, 90.00, 90.00 degrees
Space group I-43m (No. 217)
Unique sites:
V (0.103, 0.103, 0.103) x8
Pb (0.209, 0.209, 0.791) x8

=====

Version d
First-principles (GGA-PBE) data for crystalline VPb at its relaxed geometry, as listed in Alexandria.

ρ: 9747 kg/m3

Cell lengths 10.455, 10.455, 3.219 Å; angles 90.00, 90.00, 90.00 degrees
Space group P4/m (No. 83)
Unique sites:
V (0.018, 0.628, 0.000) x4
V (0.128, 0.471, 0.500) x4
Pb (0.138, 0.173, 0.500) x4
Pb (0.323, 0.633, 0.000) x4

=====

Which structure is most stable? version d, by 0.329 eV/atom over the runner-up.

=====

Version a
First-principles (GGA-PBE) data for crystalline VPb at its relaxed geometry, as listed in Alexandria.

ρ: 5533 kg/m3

Cell lengths 7.747, 7.747, 7.747 Å; angles 90.00, 90.00, 90.00 degrees
Space group Pm-3n (No. 223)
Unique sites:
V (0.000, 0.250, 0.500) x6
Pb (0.000, 0.500, 0.250) x6

=====

Version b
First-principles (GGA-PBE) data for crystalline VPb at its relaxed geometry, as listed in Alexandria.

ρ: 9803 kg/m3

Cell lengths 5.602, 5.602, 5.574 Å; angles 90.00, 90.00, 90.00 degrees
Space group P4_2/mnm (No. 136)
Unique sites:
V (0.218, 0.218, 0.000) x4
Pb (0.222, 0.222, 0.500) x4

=====

Version c
First-principles (GGA-PBE) data for crystalline VPb at its relaxed geometry, as listed in Alexandria.

ρ: 7710 kg/m3

Cell lengths 11.888, 11.888, 3.147 Å; angles 90.00, 90.00, 90.00 degrees
Space group I4/m (No. 87)
Unique sites:
V (0.182, 0.723, 0.000) x8
Pb (0.042, 0.217, 0.000) x8

=====

Which structure is most stable? version c, by 0.109 eV/atom over the runner-up.

=====

Version a
First-principles (GGA-PBE) data for crystalline V3PbW at its relaxed geometry, as listed in Alexandria.

ρ: 8945 kg/m3

Cell lengths 4.656, 4.656, 4.656 Å; angles 90.00, 90.00, 90.00 degrees
Space group Pm-3m (No. 221)
Unique sites:
V (0.000, 0.000, 0.500) x3
Pb (0.500, 0.500, 0.500) x1
W (0.000, 0.000, 0.000) x1

=====

Version b
First-principles (GGA-PBE) data for crystalline V3PbW at its relaxed geometry, as listed in Alexandria.

ρ: 7509 kg/m3

Cell lengths 4.936, 4.936, 4.936 Å; angles 90.00, 90.00, 90.00 degrees
Space group Pm-3m (No. 221)
Unique sites:
V (0.000, 0.000, 0.500) x3
Pb (0.000, 0.000, 0.000) x1
W (0.500, 0.500, 0.500) x1

=====

Which structure is most stable? version a, by 1.176 eV/atom over the runner-up.